1.
Compound: GaBiPOs2
Source: the Alexandria database
Functional: PBE-GGA
Structure: relaxed

Output
N(E_F) ... 1.20 states/eV/atom
Crystal system ... tetragonal
V ... 131.9 Å³ per cell
E_form ... 2591 meV per atom
Spin magnetization ... 0.32 μB/cell

```
data_GaBiPOs2
_chemical_formula_sum 'Ga1 Bi1 P1 Os2'
_cell_length_a 5.0241
_cell_length_b 5.0241
_cell_length_c 5.2271
_cell_angle_alpha 90.00
_cell_angle_beta 90.00
_cell_angle_gamma 90.00
_space_group_name_H-M_alt 'P 4/m m m'
_space_group_IT_number 123
_space_group_name_Hall '-P 4 2'
loop_
_atom_site_label
_atom_site_type_symbol
_atom_site_fract_x
_atom_site_fract_y
_atom_site_fract_z
_atom_site_occupancy
Ga1 Ga 0.0000 0.0000 0.0000 1
Bi1 Bi 0.0000 0.0000 0.5000 1
P1 P 0.5000 0.5000 0.0000 1
Os1 Os 0.0000 0.5000 0.5000 1
```

---

2.
Compound: Ga2BiOsRu
Source: the Alexandria database
Functional: PBE-GGA
Structure: relaxed

Output
N(E_F) ... 1.41 states/eV/atom
Crystal system ... tetragonal
V ... 142.5 Å³ per cell
E_form ... 2195 meV per atom
Spin magnetization ... 4.30 μB/cell

```
data_Ga2BiOsRu
_chemical_formula_sum 'Ga2 Bi1 Os1 Ru1'
_cell_length_a 5.3071
_cell_length_b 5.3071
_cell_length_c 5.0605
_cell_angle_alpha 90.00
_cell_angle_beta 90.00
_cell_angle_gamma 90.00
_space_group_name_H-M_alt 'P 4/m m m'
_space_group_IT_number 123
_space_group_name_Hall '-P 4 2'
loop_
_atom_site_label
_atom_site_type_symbol
_atom_site_fract_x
_atom_site_fract_y
_atom_site_fract_z
_atom_site_occupancy
Ga1 Ga 0.0000 0.5000 0.0000 1
Bi1 Bi 0.0000 0.0000 0.0000 1
Os1 Os 0.0000 0.0000 0.5000 1
Ru1 Ru 0.5000 0.5000 0.5000 1
```

---

3.
Compound: ScGa2BiOs
Source: the Alexandria database
Functional: PBE-GGA
Structure: relaxed

Output
N(E_F) ... 1.26 states/eV/atom
Crystal system ... tetragonal
V ... 140.2 Å³ per cell
E_form ... 1478 meV per atom
Spin magnetization ... 2.65 μB/cell

```
data_ScGa2BiOs
_chemical_formula_sum 'Sc1 Ga2 Bi1 Os1'
_cell_length_a 5.0670
_cell_length_b 5.0670
_cell_length_c 5.4595
_cell_angle_alpha 90.00
_cell_angle_beta 90.00
_cell_angle_gamma 90.00
_space_group_name_H-M_alt 'P 4/m m m'
_space_group_IT_number 123
_space_group_name_Hall '-P 4 2'
loop_
_atom_site_label
_atom_site_type_symbol
_atom_site_fract_x
_atom_site_fract_y
_atom_site_fract_z
_atom_site_occupancy
Sc1 Sc 0.0000 0.0000 0.0000 1
Ga1 Ga 0.0000 0.5000 0.0000 1
Bi1 Bi 0.0000 0.0000 0.5000 1
Os1 Os 0.5000 0.5000 0.5000 1
```

---

- Among the records above, which one has the lowest V?
  GaBiPOs2